# Rb2MgMnBe (GGA-PBE, relaxed)
# - E: -2.38 eV per atom
# - Magnetization: 3.480 μB/f.u.
# - ΔH_f (0 K): 909 meV/atom
# - DOS at the Fermi energy: 2.708 states/eV per cell
data_Rb2MgMnBe
_chemical_formula_sum 'Rb2 Mg1 Mn1 Be1'
_cell_length_a 6.9170
_cell_length_b 6.9170
_cell_length_c 4.3659
_cell_angle_alpha 90.00
_cell_angle_beta 90.00
_cell_angle_gamma 90.00
_space_group_name_H-M_alt 'P 4/m m m'
_space_group_IT_number 123
_space_group_name_Hall '-P 4 2'
loop_
_atom_site_label
_atom_site_type_symbol
_atom_site_fract_x
_atom_site_fract_y
_atom_site_fract_z
Rb1 Rb 0.0000 0.5000 0.0000
Mg1 Mg 0.0000 0.0000 0.5000
Mn1 Mn 0.5000 0.5000 0.0000
Be1 Be 0.5000 0.5000 0.5000

# MgBeMo (GGA-PBE, relaxed)
# - E: -5.09 eV per atom
# - Magnetization: 0.000 μB/f.u.
# - ΔH_f (0 K): 291 meV/atom
# - E above lowest polymorph: 0.0 kJ per mole of atoms
# - DOS at the Fermi energy: 5.213 states/eV per cell
data_MgBeMo
_chemical_formula_sum 'Mg4 Be4 Mo4'
_cell_length_a 3.4384
_cell_length_b 4.1294
_cell_length_c 12.4120
_cell_angle_alpha 90.00
_cell_angle_beta 90.00
_cell_angle_gamma 90.00
_space_group_name_H-M_alt 'F m m 2'
_space_group_IT_number 42
_space_group_name_Hall 'F 2 -2'
loop_
_atom_site_label
_atom_site_type_symbol
_atom_site_fract_x
_atom_site_fract_y
_atom_site_fract_z
Mg1 Mg 0.0000 0.0000 0.0000
Be1 Be 0.0000 0.0000 0.3340
Mo1 Mo 0.0000 0.0000 0.6899

# MgBe2Mo2 (GGA-PBE, relaxed)
# - E: -5.99 eV per atom
# - Magnetization: 0.000 μB/f.u.
# - ΔH_f (0 K): 151 meV/atom
# - DOS at the Fermi energy: 7.399 states/eV per cell
data_MgBe2Mo2
_chemical_formula_sum 'Mg2 Be4 Mo4'
_cell_length_a 6.2755
_cell_length_b 6.2755
_cell_length_c 3.2903
_cell_angle_alpha 90.00
_cell_angle_beta 90.00
_cell_angle_gamma 90.00
_space_group_name_H-M_alt 'P 4/m b m'
_space_group_IT_number 127
_space_group_name_Hall '-P 4 2ab'
loop_
_atom_site_label
_atom_site_type_symbol
_atom_site_fract_x
_atom_site_fract_y
_atom_site_fract_z
Mg1 Mg 0.0000 0.0000 0.0000
Be1 Be 0.1164 0.3836 0.0000
Mo1 Mo 0.1707 0.6707 0.5000

# Mg2BeMo (GGA-PBE, relaxed)
# - E: -3.95 eV per atom
# - Magnetization: 0.005 μB/f.u.
# - ΔH_f (0 K): 485 meV/atom
# - DOS at the Fermi energy: 5.897 states/eV per cell
data_Mg2BeMo
_chemical_formula_sum 'Mg4 Be2 Mo2'
_cell_length_a 4.0270
_cell_length_b 4.0270
_cell_length_c 7.7037
_cell_angle_alpha 90.00
_cell_angle_beta 90.00
_cell_angle_gamma 90.00
_space_group_name_H-M_alt 'I -4 m 2'
_space_group_IT_number 119
_space_group_name_Hall 'I -4 -2'
loop_
_atom_site_label
_atom_site_type_symbol
_atom_site_fract_x
_atom_site_fract_y
_atom_site_fract_z
Mg1 Mg 0.0000 0.0000 0.0000
Mg2 Mg 0.0000 0.5000 0.2500
Be1 Be 0.0000 0.0000 0.5000
Mo1 Mo 0.0000 0.5000 0.7500